Entry 1:
# LaPr2Al2

A geometry-optimized LaPr2Al2 structure (PBE, Alexandria).

Lattice parameters (Å, degrees): 5.1127 5.8999 5.8999 74.00 64.32 64.32
Last column: nearest neighbours and their distance in Å.
Fractional positions:
Pr 0.2015 0.2985 0.2985  1 Pr 3.19, 6 Al 3.24-3.29, 2 La 3.48
Al 0.5000 0.3127 0.6873  1 Al 2.66
Pr 0.7985 0.7015 0.7015  1 Pr 3.19, 6 Al 3.24-3.29, 2 La 3.48
La 0.0000 0.0000 0.0000  4 Al 3.39, 4 Pr 3.48
Al 0.5000 0.6873 0.3127  1 Al 2.66

Properties
As for the space-group type: Immm (71). For the calculated formation energy, the calculation gives -0.31 eV per atom. The value obtained for the distance to the lowest polymorph of the same formula is 0.0 kJ/mol of atoms. The value obtained for the density is 5.485 g/cm³. For the volume, the calculation gives 143.7 Å³/cell. Its density of states at the Fermi level is 4.7 states/eV/cell.

---

Entry 2:
# KRbZnPd2

A geometry-optimized KRbZnPd2 structure (PBE, Alexandria).

Lattice parameters (Å, degrees): 5.5962 6.2466 5.5962 90.00 90.00 90.00
Last column: nearest neighbours and their distance in Å.
Fractional positions:
Pd 0.0000 0.0000 0.5000  2 Rb 2.80
Pd 0.5000 0.0000 0.0000  2 Rb 2.80
Zn 0.0000 0.5000 0.0000  2 Rb 3.12
Rb 0.0000 0.0000 0.0000  4 Pd 2.80, 2 Zn 3.12
K 0.5000 0.5000 0.5000  4 Zn 3.96, 8 Pd 4.19

Properties
As for the space-group type: P4/mmm (123). For the calculated formation energy, the calculation gives 0.85 eV per atom. The value obtained for the density is 3.419 g/cm³. For the volume, the calculation gives 195.6 Å³/cell. Its density of states at the Fermi level is 2.2 states/eV/cell.